<w>
{
  "formula": "ErHgPtRh",
  "functional": "GGA-PBE",
  "state": "optimized geometry",
  "cell": [[3.851, 0.000, 0.000], [0.000, 4.355, 0.000], [0.000, 0.000, 4.370]],
  "species": ["Hg", "Rh", "Er", "Pt"],
  "fractional_positions": [[0.500, 0.500, 0.000], [0.000, 0.500, 0.500], [0.500, 0.000, 0.500], [0.000, 0.000, 0.000]]
}

<x>
{
  "formula": "ErHgPtRh",
  "functional": "GGA-PBE",
  "state": "optimized geometry",
  "cell": [[-2.183, -0.619, 4.147], [2.315, -1.975, 3.618], [1.230, 2.625, 3.734]],
  "species": ["Pt", "Er", "Rh", "Hg"],
  "fractional_positions": [[0.750, 0.750, 0.750], [0.000, 0.000, 0.000], [0.250, 0.250, 0.250], [0.500, 0.500, 0.500]]
}

Relative energies in meV/atom: <w> 0; <x> 85